1.
# Tl3Ir (PBE, optimized geometry)
data_Tl3Ir
_space_group_name_H-M_alt 'P 1'
_space_group_IT_number 1
_cell_length_a 8.287
_cell_length_b 8.287
_cell_length_c 4.594
_cell_angle_alpha 90.00
_cell_angle_beta 90.00
_cell_angle_gamma 133.69
loop_
_space_group_symop_operation_xyz
'x,y,z'
loop_
_atom_site_label
_atom_site_type_symbol
_atom_site_fract_x
_atom_site_fract_y
_atom_site_fract_z
Tl1 Tl 0.933 0.067 0.250
Tl2 Tl 0.067 0.933 0.750
Tl3 Tl 0.430 0.077 0.250
Tl4 Tl 0.570 0.923 0.750
Tl5 Tl 0.923 0.570 0.250
Tl6 Tl 0.077 0.430 0.750
Ir1 Ir 0.474 0.526 0.750
Ir2 Ir 0.526 0.474 0.250
# Excess energy over the best structure of this formula in the dataset: 0.288 eV/atom
# Magnetization: 0.00 Bohr magnetons per cell

***

2.
# Tl3Ir (PBE, optimized geometry)
data_Tl3Ir
_space_group_name_H-M_alt 'P 1'
_space_group_IT_number 1
_cell_length_a 5.503
_cell_length_b 5.503
_cell_length_c 5.503
_cell_angle_alpha 137.52
_cell_angle_beta 112.45
_cell_angle_gamma 83.14
loop_
_space_group_symop_operation_xyz
'x,y,z'
loop_
_atom_site_label
_atom_site_type_symbol
_atom_site_fract_x
_atom_site_fract_y
_atom_site_fract_z
Ir1 Ir 0.926 0.000 0.926
Tl1 Tl 0.606 0.500 0.106
Tl2 Tl 0.957 0.307 0.650
Tl3 Tl 0.343 0.693 0.650
# Excess energy over the best structure of this formula in the dataset: 0.179 eV/atom
# Magnetization: 0.00 Bohr magnetons per cell

***

3.
# Tl5Ir4 (PBE, optimized geometry)
data_Tl5Ir4
_space_group_name_H-M_alt 'P 1'
_space_group_IT_number 1
_cell_length_a 8.416
_cell_length_b 8.416
_cell_length_c 5.872
_cell_angle_alpha 90.00
_cell_angle_beta 90.00
_cell_angle_gamma 120.00
loop_
_space_group_symop_operation_xyz
'x,y,z'
loop_
_atom_site_label
_atom_site_type_symbol
_atom_site_fract_x
_atom_site_fract_y
_atom_site_fract_z
Tl1 Tl 0.000 0.725 0.250
Tl2 Tl 0.275 0.275 0.250
Tl3 Tl 0.725 0.000 0.250
Tl4 Tl 0.000 0.275 0.750
Tl5 Tl 0.725 0.725 0.750
Tl6 Tl 0.275 0.000 0.750
Tl7 Tl 0.667 0.333 0.000
Tl8 Tl 0.333 0.667 0.500
Tl9 Tl 0.333 0.667 0.000
Tl10 Tl 0.667 0.333 0.500
Ir1 Ir 0.000 0.000 0.000
Ir2 Ir 0.000 0.000 0.500
Ir3 Ir 0.000 0.405 0.250
Ir4 Ir 0.595 0.595 0.250
Ir5 Ir 0.405 0.000 0.250
Ir6 Ir 0.000 0.595 0.750
Ir7 Ir 0.405 0.405 0.750
Ir8 Ir 0.595 0.000 0.750
# Excess energy over the best structure of this formula in the dataset: 0.000 eV/atom
# Magnetization: 0.00 Bohr magnetons per cell

***

4.
# TlIr2 (PBE, optimized geometry)
data_TlIr2
_space_group_name_H-M_alt 'P 1'
_space_group_IT_number 1
_cell_length_a 5.079
_cell_length_b 5.079
_cell_length_c 8.400
_cell_angle_alpha 75.62
_cell_angle_beta 75.62
_cell_angle_gamma 32.41
loop_
_space_group_symop_operation_xyz
'x,y,z'
loop_
_atom_site_label
_atom_site_type_symbol
_atom_site_fract_x
_atom_site_fract_y
_atom_site_fract_z
Tl1 Tl 0.843 0.843 0.131
Tl2 Tl 0.157 0.157 0.869
Ir1 Ir 0.451 0.451 0.729
Ir2 Ir 0.137 0.137 0.497
Ir3 Ir 0.863 0.863 0.503
Ir4 Ir 0.549 0.549 0.271
# Excess energy over the best structure of this formula in the dataset: 0.043 eV/atom
# Magnetization: 0.00 Bohr magnetons per cell

***

5.
# Tl4Ir5 (PBE, optimized geometry)
data_Tl4Ir5
_space_group_name_H-M_alt 'P 1'
_space_group_IT_number 1
_cell_length_a 6.585
_cell_length_b 6.585
_cell_length_c 6.585
_cell_angle_alpha 96.12
_cell_angle_beta 96.12
_cell_angle_gamma 141.87
loop_
_space_group_symop_operation_xyz
'x,y,z'
loop_
_atom_site_label
_atom_site_type_symbol
_atom_site_fract_x
_atom_site_fract_y
_atom_site_fract_z
Tl1 Tl 0.691 0.000 0.691
Tl2 Tl 0.309 0.000 0.309
Tl3 Tl 0.000 0.309 0.309
Tl4 Tl 0.000 0.691 0.691
Ir1 Ir 0.000 0.000 0.000
Ir2 Ir 0.659 0.341 0.000
Ir3 Ir 0.341 0.659 0.000
Ir4 Ir 0.341 0.341 0.681
Ir5 Ir 0.659 0.659 0.319
# Excess energy over the best structure of this formula in the dataset: 0.000 eV/atom
# Magnetization: 0.00 Bohr magnetons per cell

***

6.
# Tl3Ir (PBE, optimized geometry)
data_Tl3Ir
_space_group_name_H-M_alt 'P 1'
_space_group_IT_number 1
_cell_length_a 5.326
_cell_length_b 5.326
_cell_length_c 5.326
_cell_angle_alpha 90.00
_cell_angle_beta 90.00
_cell_angle_gamma 90.00
loop_
_space_group_symop_operation_xyz
'x,y,z'
loop_
_atom_site_label
_atom_site_type_symbol
_atom_site_fract_x
_atom_site_fract_y
_atom_site_fract_z
Ir1 Ir 0.000 0.000 0.000
Tl1 Tl 0.500 0.000 0.000
Tl2 Tl 0.000 0.500 0.000
Tl3 Tl 0.000 0.000 0.500
# Excess energy over the best structure of this formula in the dataset: 0.000 eV/atom
# Magnetization: 0.00 Bohr magnetons per cell

***

7.
# Tl3Ir (PBE, optimized geometry)
data_Tl3Ir
_space_group_name_H-M_alt 'P 1'
_space_group_IT_number 1
_cell_length_a 5.229
_cell_length_b 5.229
_cell_length_c 3.438
_cell_angle_alpha 90.00
_cell_angle_beta 90.00
_cell_angle_gamma 90.20
loop_
_space_group_symop_operation_xyz
'x,y,z'
loop_
_atom_site_label
_atom_site_type_symbol
_atom_site_fract_x
_atom_site_fract_y
_atom_site_fract_z
Ir1 Ir 0.000 0.000 0.000
Tl1 Tl 0.000 0.500 0.500
Tl2 Tl 0.500 0.000 0.500
Tl3 Tl 0.500 0.500 0.000
# Excess energy over the best structure of this formula in the dataset: 0.465 eV/atom
# Magnetization: 0.00 Bohr magnetons per cell

***

8.
# Tl3Ir (PBE, optimized geometry)
data_Tl3Ir
_space_group_name_H-M_alt 'P 1'
_space_group_IT_number 1
_cell_length_a 3.330
_cell_length_b 3.330
_cell_length_c 10.341
_cell_angle_alpha 90.00
_cell_angle_beta 90.00
_cell_angle_gamma 120.00
loop_
_space_group_symop_operation_xyz
'x,y,z'
loop_
_atom_site_label
_atom_site_type_symbol
_atom_site_fract_x
_atom_site_fract_y
_atom_site_fract_z
Ir1 Ir 0.000 0.000 0.000
Tl1 Tl 0.000 0.000 0.500
Tl2 Tl 0.667 0.333 0.206
Tl3 Tl 0.667 0.333 0.794
# Excess energy over the best structure of this formula in the dataset: 0.250 eV/atom
# Magnetization: 0.00 Bohr magnetons per cell

***

9.
# TlIr2 (PBE, optimized geometry)
data_TlIr2
_space_group_name_H-M_alt 'P 1'
_space_group_IT_number 1
_cell_length_a 7.858
_cell_length_b 7.858
_cell_length_c 2.887
_cell_angle_alpha 90.00
_cell_angle_beta 90.00
_cell_angle_gamma 120.00
loop_
_space_group_symop_operation_xyz
'x,y,z'
loop_
_atom_site_label
_atom_site_type_symbol
_atom_site_fract_x
_atom_site_fract_y
_atom_site_fract_z
Tl1 Tl 0.333 0.667 0.000
Tl2 Tl 0.667 0.333 0.000
Tl3 Tl 0.000 0.000 0.500
Ir1 Ir 0.309 0.000 0.000
Ir2 Ir 0.000 0.309 0.000
Ir3 Ir 0.691 0.691 0.000
Ir4 Ir 0.640 0.000 0.500
Ir5 Ir 0.000 0.640 0.500
Ir6 Ir 0.360 0.360 0.500
# Excess energy over the best structure of this formula in the dataset: 0.330 eV/atom
# Magnetization: 0.00 Bohr magnetons per cell

***

10.
# TlIr4 (PBE, optimized geometry)
data_TlIr4
_space_group_name_H-M_alt 'P 1'
_space_group_IT_number 1
_cell_length_a 6.838
_cell_length_b 6.838
_cell_length_c 6.838
_cell_angle_alpha 148.30
_cell_angle_beta 148.30
_cell_angle_gamma 45.44
loop_
_space_group_symop_operation_xyz
'x,y,z'
loop_
_atom_site_label
_atom_site_type_symbol
_atom_site_fract_x
_atom_site_fract_y
_atom_site_fract_z
Tl1 Tl 0.000 0.000 0.000
Ir1 Ir 0.750 0.250 0.500
Ir2 Ir 0.250 0.750 0.500
Ir3 Ir 0.602 0.602 0.000
Ir4 Ir 0.398 0.398 0.000
# Excess energy over the best structure of this formula in the dataset: 0.000 eV/atom
# Magnetization: 0.00 Bohr magnetons per cell

***

11.
# TlIr2 (PBE, optimized geometry)
data_TlIr2
_space_group_name_H-M_alt 'P 1'
_space_group_IT_number 1
_cell_length_a 4.400
_cell_length_b 4.400
_cell_length_c 4.400
_cell_angle_alpha 60.00
_cell_angle_beta 60.00
_cell_angle_gamma 60.00
loop_
_space_group_symop_operation_xyz
'x,y,z'
loop_
_atom_site_label
_atom_site_type_symbol
_atom_site_fract_x
_atom_site_fract_y
_atom_site_fract_z
Ir1 Ir 0.750 0.750 0.750
Ir2 Ir 0.250 0.250 0.250
Tl1 Tl 0.000 0.000 0.000
# Excess energy over the best structure of this formula in the dataset: 0.797 eV/atom
# Magnetization: 0.67 Bohr magnetons per cell

***

12.
# Tl3Ir (PBE, optimized geometry)
data_Tl3Ir
_space_group_name_H-M_alt 'P 1'
_space_group_IT_number 1
_cell_length_a 7.854
_cell_length_b 7.854
_cell_length_c 7.876
_cell_angle_alpha 90.00
_cell_angle_beta 90.00
_cell_angle_gamma 120.00
loop_
_space_group_symop_operation_xyz
'x,y,z'
loop_
_atom_site_label
_atom_site_type_symbol
_atom_site_fract_x
_atom_site_fract_y
_atom_site_fract_z
Tl1 Tl 0.500 0.000 0.000
Tl2 Tl 0.500 0.000 0.500
Tl3 Tl 0.000 0.500 0.000
Tl4 Tl 0.500 0.500 0.000
Tl5 Tl 0.500 0.500 0.500
Tl6 Tl 0.000 0.500 0.500
Tl7 Tl 0.858 0.715 0.250
Tl8 Tl 0.142 0.285 0.750
Tl9 Tl 0.285 0.142 0.250
Tl10 Tl 0.858 0.142 0.250
Tl11 Tl 0.142 0.858 0.750
Tl12 Tl 0.715 0.858 0.750
Ir1 Ir 0.000 0.000 0.000
Ir2 Ir 0.000 0.000 0.500
Ir3 Ir 0.333 0.667 0.250
Ir4 Ir 0.667 0.333 0.750
# Excess energy over the best structure of this formula in the dataset: 0.368 eV/atom
# Magnetization: 0.00 Bohr magnetons per cell